w.
Ag2SO, relaxed, DFT PBE; total magnetization = 8.0 Bohr magnetons per cell
1.0
6.234 0.000 0.000
0.000 6.234 0.000
0.000 0.000 6.234
Ag S O
8 4 4
direct
0.250 0.250 0.250
0.250 0.250 0.750
0.250 0.750 0.250
0.250 0.750 0.750
0.750 0.250 0.250
0.750 0.250 0.750
0.750 0.750 0.250
0.750 0.750 0.750
0.000 0.000 0.000
0.000 0.500 0.500
0.500 0.000 0.500
0.500 0.500 0.000
0.000 0.000 0.500
0.000 0.500 0.000
0.500 0.000 0.000
0.500 0.500 0.500



x.
Ag2SO, relaxed, DFT PBE; total magnetization = 0.0 Bohr magnetons per cell
1.0
5.359 0.000 0.000
0.000 5.359 0.000
0.000 0.000 10.800
Ag S O
8 4 4
direct
0.211 0.250 0.125
0.250 0.711 0.375
0.250 0.789 0.875
0.289 0.250 0.625
0.711 0.750 0.625
0.750 0.211 0.875
0.750 0.289 0.375
0.789 0.750 0.125
0.000 0.000 0.500
0.000 0.500 0.750
0.500 0.000 0.250
0.500 0.500 0.000
0.000 0.000 0.000
0.000 0.500 0.250
0.500 0.000 0.750
0.500 0.500 0.500



Among the structures shown above, x is the most stable, with the second-best lying 142 meV/atom higher.